Entry from Alexandria via LeMat-Bulk: crystalline KAgMo at its relaxed geometry (GGA-PBE).

Summary:
ΔE_f ... 0.897 eV per atom
Total magnetic moment ... 2.317 Bohr magnetons per cell
Energy above the most stable polymorph in this dataset ... 234 meV per atom
E_tot ... -48.36 eV for the cell shown
Crystal system ... orthorhombic

Unit cell a=12.7463 b=5.1018 c=5.1022 alpha=90.00 beta=90.00 gamma=90.00
With the nearest neighbours (Å) after each atom.
Fractional positions:
K  0.2401  0.2500  0.0145  2 Ag 3.32, 1 Mo 3.42, 4 K 3.62
K  0.2599  0.7500  0.5145  2 Ag 3.32, 1 Mo 3.42, 4 K 3.62
K  0.7401  0.2500  0.4855  2 Ag 3.32, 1 Mo 3.42, 4 K 3.62
K  0.7599  0.7500  0.9855  2 Ag 3.32, 1 Mo 3.42, 4 K 3.62
Ag  0.0000  0.0000  0.0000  2 Ag 2.55, 2 Mo 2.85
Ag  0.0000  0.5000  0.0000  2 Ag 2.55, 2 Mo 2.85
Ag  0.5000  0.0000  0.5000  2 Ag 2.55, 2 Mo 2.85
Ag  0.5000  0.5000  0.5000  2 Ag 2.55, 2 Mo 2.85
Mo  0.0084  0.2500  0.5007  2 Mo 2.56, 4 Ag 2.85-2.86
Mo  0.4916  0.7500  0.0007  2 Mo 2.56, 4 Ag 2.85-2.86
Mo  0.5084  0.2500  0.9993  2 Mo 2.56, 4 Ag 2.85-2.86
Mo  0.9916  0.7500  0.4993  2 Mo 2.56, 4 Ag 2.85-2.86